(1)
A relaxed structure of MgZnTe2, computed with GGA-PBE. Values from VASP.

Computed properties:
For the size of the total moment, the calculation gives 0.00 μB per cell. As for the uncorrected formation energy: -218 meV per atom.

Geometry as Quantum ESPRESSO input:
```
&SYSTEM
  ibrav = 0, nat = 4, ntyp = 3
/
ATOMIC_SPECIES
Te 127.60 Te.upf
Mg 24.30 Mg.upf
Zn 65.41 Zn.upf
ATOMIC_POSITIONS crystal
Te 0.500 0.500 0.000
Te 0.000 0.000 0.000
Mg 0.000 0.500 0.500
Zn 0.500 0.000 0.500
CELL_PARAMETERS angstrom
4.000 0.000 0.000
0.000 8.133 0.000
0.000 0.000 3.928
```

---

(2)
A relaxed structure of Ac2PmNdHo, computed with GGA-PBE. Values from VASP.

Computed properties:
The calculation puts the uncorrected energy at -21.1 eV per formula unit. For the size of the total moment, the calculation gives 0.00 μB per cell.

Geometry as Quantum ESPRESSO input:
```
&SYSTEM
  ibrav = 0, nat = 10, ntyp = 4
/
ATOMIC_SPECIES
Pm 145.00 Pm.upf
Nd 144.24 Nd.upf
Ac 227.00 Ac.upf
Ho 164.93 Ho.upf
ATOMIC_POSITIONS crystal
Pm 0.182 0.500 0.750
Pm 0.818 0.500 0.250
Nd 0.587 0.000 0.250
Nd 0.413 0.000 0.750
Ac 0.290 0.706 0.250
Ac 0.710 0.706 0.750
Ac 0.710 0.294 0.750
Ac 0.290 0.294 0.250
Ho 0.000 0.000 0.500
Ho 0.000 0.000 0.000
CELL_PARAMETERS angstrom
-2.126 2.785 -5.880
-8.392 -0.545 2.775
0.484 5.914 2.626
```

---

(3)
A relaxed structure of KYAl2, computed with GGA-PBE. Values from VASP.

Computed properties:
The calculation puts the uncorrected energy at -13.3 eV per formula unit. For the size of the total moment, the calculation gives 0.72 μB per cell.

Geometry as Quantum ESPRESSO input:
```
&SYSTEM
  ibrav = 0, nat = 4, ntyp = 3
/
ATOMIC_SPECIES
K 39.10 K.upf
Al 26.98 Al.upf
Y 88.91 Y.upf
ATOMIC_POSITIONS crystal
K 0.500 0.500 0.500
Al 0.250 0.250 0.250
Al 0.000 0.000 0.000
Y 0.750 0.750 0.750
CELL_PARAMETERS angstrom
-4.229 3.101 -0.465
-3.166 -0.475 -4.180
-4.825 -2.027 0.570
```

---

(4)
A relaxed structure of Ca2TlI, computed with GGA-PBE. Values from VASP.

Computed properties:
For the size of the total moment, the calculation gives 0.00 μB per cell. As for the uncorrected formation energy: -693 meV per atom.

Geometry as Quantum ESPRESSO input:
```
&SYSTEM
  ibrav = 0, nat = 4, ntyp = 3
/
ATOMIC_SPECIES
Tl 204.38 Tl.upf
Ca 40.08 Ca.upf
I 126.90 I.upf
ATOMIC_POSITIONS crystal
Tl 0.500 0.500 0.000
Ca 0.000 0.000 0.224
Ca 0.000 0.000 0.776
I 0.500 0.500 0.500
CELL_PARAMETERS angstrom
3.855 0.000 0.000
0.000 3.855 0.000
0.000 0.000 8.704
```

---

(5)
A relaxed structure of Be3TcP, computed with GGA-PBE. Values from VASP.

Computed properties:
The calculation puts the uncorrected energy at -21.0 eV per formula unit. For the size of the total moment, the calculation gives 0.00 μB per cell.

Geometry as Quantum ESPRESSO input:
```
&SYSTEM
  ibrav = 0, nat = 5, ntyp = 3
/
ATOMIC_SPECIES
Be 9.01 Be.upf
Tc 98.00 Tc.upf
P 30.97 P.upf
ATOMIC_POSITIONS crystal
Be 0.000 0.000 0.500
Be 0.500 0.000 0.000
Be 0.000 0.500 0.000
Tc 0.000 0.000 0.000
P 0.500 0.500 0.500
CELL_PARAMETERS angstrom
-3.111 -0.500 -2.747
-2.607 -0.953 3.126
-1.000 4.040 0.398
```

---

(6)
A relaxed structure of CrRh2Br, computed with GGA-PBE. Values from VASP.

Computed properties:
For the size of the total moment, the calculation gives 2.40 μB per cell. As for the uncorrected formation energy: 612 meV per atom.

Geometry as Quantum ESPRESSO input:
```
&SYSTEM
  ibrav = 0, nat = 4, ntyp = 3
/
ATOMIC_SPECIES
Rh 102.91 Rh.upf
Cr 52.00 Cr.upf
Br 79.90 Br.upf
ATOMIC_POSITIONS crystal
Rh 0.250 0.250 0.250
Rh 0.750 0.750 0.750
Cr 0.000 0.000 0.000
Br 0.500 0.500 0.500
CELL_PARAMETERS angstrom
0.000 3.158 3.158
3.158 0.000 3.158
3.158 3.158 0.000
```

---

Density across the listed records, respectively: 4.5; 7.7; 2.9; 5.3; 3.5; 8.9 g/cm3.